First-principles (PBE+U) data for a relaxed structure of Pm2AgMoO6, as listed in Alexandria.

Computed properties:
The value obtained for the magnetic moment is 0.101 μB/atom. As for the total energy: -7.0430 eV/atom. As for the space-group type: P4mm (99). As for the density of states at the Fermi level: 0.0 states/eV/cell. As for the theoretical density: 6.2 Mg/m³.

Cell lengths 5.4580, 5.3621, 5.3621 Å; angles 90.00, 90.00, 90.00 degrees
With the nearest neighbours (Å) after each atom.
Sites, in units of the cell vectors:
Pm: 0.9935 0.5000 0.0000  4 O 2.32
Pm: 0.9935 0.0000 0.5000  4 O 2.32
Ag: 0.4979 0.5000 0.5000  1 O 2.11
Mo: 0.5948 0.0000 0.0000  5 O 1.87-1.96
O: 0.7509 0.2327 0.2327  1 Mo 1.96
O: 0.7509 0.2327 0.7673  1 Mo 1.96
O: 0.1116 0.5000 0.5000  1 Ag 2.11
O: 0.2516 0.0000 0.0000  1 Mo 1.87
O: 0.7509 0.7673 0.7673  1 Mo 1.96
O: 0.7509 0.7673 0.2327  1 Mo 1.96